A relaxed structure of RbMn2CuF8, computed with GGA+U.

## Properties
Space group = P-1 (2)
Mass density = 3.49 g/cm3
DFT total energy = -5.212 eV/atom

abc: 5.053 5.059 7.742
angles: 86.83 86.37 82.04
Each line ends with the local moment (μB).
Fractional coordinates of all 12 atoms:
F 0.659 0.645 0.588  0.00
F 0.200 0.791 0.186  -0.04
F 0.341 0.355 0.412  0.00
F 0.219 0.806 0.812  -0.04
F 0.317 0.324 0.985  0.02
F 0.683 0.676 0.015  0.02
F 0.800 0.209 0.814  -0.04
F 0.781 0.194 0.188  -0.04
Cu 0.000 0.000 0.000  -0.59
Rb 0.000 0.000 0.500  0.00
Mn 0.482 0.484 0.199  4.21
Mn 0.518 0.516 0.801  4.21